! LiPuInNi (GGA-PBE, relaxed); values from VASP
! Energy relative to the elements ... -91 meV/atom
! Magnetic moment ... 4.915 μB/f.u.
! Space group ... F-43m (216)
! VASP energy ... -6.282 eV/atom
&SYSTEM
  ibrav = 0, nat = 16, ntyp = 4
/
ATOMIC_SPECIES
Li 6.94 Li.upf
Pu 244.00 Pu.upf
In 114.82 In.upf
Ni 58.69 Ni.upf
ATOMIC_POSITIONS angstrom
Li 0.0000 0.0000 0.0000
Li 0.0000 3.3306 3.3306
Li 3.3306 0.0000 3.3306
Li 3.3306 3.3306 0.0000
Pu 1.6653 1.6653 1.6653
Pu 1.6653 4.9959 4.9959
Pu 4.9959 1.6653 4.9959
Pu 4.9959 4.9959 1.6653
In 1.6653 1.6653 4.9959
In 1.6653 4.9959 1.6653
In 4.9959 1.6653 1.6653
In 4.9959 4.9959 4.9959
Ni 0.0000 0.0000 3.3306
Ni 0.0000 3.3306 0.0000
Ni 3.3306 0.0000 0.0000
Ni 3.3306 3.3306 3.3306
CELL_PARAMETERS angstrom
6.6612 0.0000 0.0000
0.0000 6.6612 0.0000
0.0000 0.0000 6.6612